--- P ---
Material: Zn4Ga3Ag
Method: DFT, PBE
State: optimized geometry

density of states at the Fermi level: 2.242 states/eV/f.u.
crystal system: orthorhombic

Cell: 5.4375 9.5308 11.2795 Å, 90.00 90.00 90.00°
With the nearest neighbours (Å) after each atom.
Space group Fmmm (No. 69)
One atom of each set of equivalent atoms:
Zn  0.0000  0.0000  0.2475 [8 per cell]  2 Zn 2.72, 5 Ga 2.74-2.85, 1 Ag 2.79
Zn  0.2500  0.2500  0.0000 [8 per cell]  2 Zn 2.72, 2 Ag 2.74, 4 Ga 2.74-2.82
Ga  0.0000  0.0000  0.5000 [4 per cell]  2 Ag 2.72, 6 Zn 2.74-2.85
Ga  0.2500  0.2500  0.2500 [8 per cell]  2 Ga 2.72, 6 Zn 2.74-2.82
Ag  0.0000  0.0000  0.0000 [4 per cell]  2 Ga 2.72, 6 Zn 2.74-2.79

---

--- Q ---
Material: Zn4Ga3Ag
Method: DFT, PBE
State: optimized geometry

density of states at the Fermi level: 2.345 states/eV/f.u.
crystal system: monoclinic

Cell: 16.4436 3.9797 4.1023 Å, 90.00 95.66 90.00°
With the nearest neighbours (Å) after each atom.
Space group C2/m (No. 12)
One atom of each set of equivalent atoms:
Zn  0.1295  0.0000  0.1308 [4 per cell]  3 Zn 2.64-2.78, 1 Ag 2.73, 6 Ga 2.85-2.93
Zn  0.2474  0.5000  0.2362 [4 per cell]  3 Ga 2.63-2.85, 7 Zn 2.64-2.94
Ga  0.0000  0.5000  0.0000 [2 per cell]  2 Ga 2.74, 4 Ag 2.86, 4 Zn 2.93
Ga  0.1296  0.5000  0.6275 [4 per cell]  7 Zn 2.63-2.87, 1 Ga 2.74, 2 Ag 2.93
Ag  0.0000  0.0000  0.5000 [2 per cell]  2 Zn 2.73, 8 Ga 2.86-2.93

---

Question: which arrangement is favored energetically? Ranking from most to least stable: Q, P.

---

--- P ---
Material: Zn4Ga2Ag3
Method: DFT, PBE
State: optimized geometry

density of states at the Fermi level: 3.070 states/eV/f.u.
crystal system: monoclinic

Cell: 13.3341 7.8339 5.8151 Å, 90.00 93.01 90.00°
With the nearest neighbours (Å) after each atom.
Space group C2/c (No. 15)
One atom of each set of equivalent atoms:
Zn  0.0147  0.1845  0.0090 [8 per cell]  2 Ga 2.68-2.92, 5 Ag 2.74-2.89, 3 Zn 2.76-2.92
Zn  0.1833  0.3686  0.9085 [8 per cell]  3 Ga 2.66-2.94, 3 Ag 2.75-2.76, 2 Zn 2.75-2.76
Ga  0.1641  0.2947  0.3637 [8 per cell]  5 Zn 2.66-2.94, 4 Ag 2.80-2.87, 1 Ga 2.81
Ag  0.0000  0.4939  0.7500 [4 per cell]  6 Zn 2.75-2.89, 2 Ga 2.80, 2 Ag 2.91
Ag  0.1513  0.0485  0.7256 [8 per cell]  6 Zn 2.74-3.05, 3 Ga 2.81-2.87, 2 Ag 3.01

---

--- Q ---
Material: Zn4Ga2Ag3
Method: DFT, PBE
State: optimized geometry

density of states at the Fermi level: 2.697 states/eV/f.u.
crystal system: trigonal

Cell: 2.9382 2.9382 20.3095 Å, 90.00 90.00 120.00°
With the nearest neighbours (Å) after each atom.
Space group P3m1 (No. 156)
One atom of each set of equivalent atoms:
Zn  0.0000  0.0000  0.0000 [1 per cell]  1 Ga 2.54, 3 Ag 2.78
Zn  0.0000  0.0000  0.2175 [1 per cell]  9 Zn 2.75-2.94, 3 Ag 2.79
Zn  0.3333  0.6667  0.3239 [1 per cell]  9 Zn 2.75-2.94, 3 Ag 2.78
Zn  0.3333  0.6667  0.5411 [1 per cell]  3 Ga 2.76, 3 Ag 2.78, 6 Zn 2.94
Ga  0.0000  0.0000  0.6482 [1 per cell]  3 Zn 2.76, 3 Ag 2.85, 6 Ga 2.94
Ga  0.0000  0.0000  0.8750 [1 per cell]  1 Zn 2.54
Ag  0.0000  0.0000  0.4326 [1 per cell]  6 Zn 2.78, 6 Ag 2.94
Ag  0.3333  0.6667  0.1086 [1 per cell]  6 Zn 2.78-2.79, 6 Ag 2.94
Ag  0.3333  0.6667  0.7613 [1 per cell]  6 Ga 2.85-2.87, 6 Ag 2.94

---

Question: which arrangement is favored energetically? Ranking from most to least stable: Q, P.

---

--- P ---
Material: Zn12Ga2Ag5
Method: DFT, PBE
State: optimized geometry

density of states at the Fermi level: 2.624 states/eV/f.u.
crystal system: monoclinic

Cell: 15.0752 8.8901 4.9017 Å, 90.00 106.21 90.00°
With the nearest neighbours (Å) after each atom.
Space group C2/m (No. 12)
One atom of each set of equivalent atoms:
Zn  0.0963  0.2403  0.1006 [8 per cell]  5 Zn 2.65-2.95, 3 Ag 2.69-2.80, 2 Ga 2.74-2.90
Zn  0.1008  0.0000  0.7849 [4 per cell]  4 Zn 2.65-2.79, 2 Ga 2.71, 3 Ag 2.76-2.92
Zn  0.1015  0.5000  0.5273 [4 per cell]  2 Ag 2.61-2.63, 2 Zn 2.69, 2 Ga 2.81
Zn  0.2021  0.2508  0.7052 [8 per cell]  7 Zn 2.69-2.95, 4 Ag 2.75-2.85, 1 Ga 2.93
Ga  0.0000  0.2322  0.5000 [4 per cell]  10 Zn 2.71-2.93
Ag  0.0000  0.5000  0.0000 [2 per cell]  6 Zn 2.61-2.70, 2 Ag 2.91
Ag  0.1927  0.0000  0.3583 [4 per cell]  9 Zn 2.69-2.99, 2 Ag 2.84-2.99
Ag  0.1979  0.5000  0.0661 [4 per cell]  8 Zn 2.63-2.92, 2 Ag 2.84-2.91

---

--- Q ---
Material: Zn12Ga2Ag5
Method: DFT, PBE
State: optimized geometry

density of states at the Fermi level: 4.820 states/eV/f.u.
crystal system: monoclinic

Cell: 11.7580 8.3335 6.5423 Å, 90.00 91.07 90.00°
With the nearest neighbours (Å) after each atom.
Space group C2/m (No. 12)
One atom of each set of equivalent atoms:
Zn  0.0522  0.0000  0.3000 [4 per cell]  7 Zn 2.70-2.91, 3 Ag 2.75-2.99, 2 Ga 2.79
Zn  0.0953  0.5000  0.1158 [4 per cell]  2 Ga 2.64, 3 Zn 2.66-2.68, 2 Ag 2.77-2.79
Zn  0.1009  0.2261  0.5951 [8 per cell]  5 Zn 2.62-2.90, 4 Ag 2.64-2.83, 1 Ga 2.92
Zn  0.2080  0.2307  0.1994 [8 per cell]  5 Zn 2.62-2.90, 3 Ag 2.74-2.80, 1 Ga 2.75
Ga  0.0000  0.2277  0.0000 [4 per cell]  8 Zn 2.64-2.92, 2 Ag 2.83
Ag  0.0000  0.5000  0.5000 [2 per cell]  6 Zn 2.64-2.77, 2 Ag 2.76
Ag  0.1673  0.0000  0.8962 [4 per cell]  9 Zn 2.76-2.99, 2 Ga 2.83, 1 Ag 2.97
Ag  0.2343  0.5000  0.5194 [4 per cell]  7 Zn 2.74-2.82, 2 Ag 2.76-2.97

---

Question: which arrangement is favored energetically? Ranking from most to least stable: P, Q.

---

--- P ---
Material: ZnGaAg6
Method: DFT, PBE
State: optimized geometry

density of states at the Fermi level: 2.062 states/eV/f.u.
crystal system: tetragonal

Cell: 4.1046 4.1046 8.2117 Å, 90.00 90.00 90.00°
With the nearest neighbours (Å) after each atom.
Space group P4/mmm (No. 123)
One atom of each set of equivalent atoms:
Zn  0.0000  0.0000  0.0000 [1 per cell]  12 Ag 2.89-2.90
Ga  0.0000  0.0000  0.5000 [1 per cell]  12 Ag 2.90-2.92
Ag  0.0000  0.5000  0.2475 [4 per cell]  8 Ag 2.89-2.92, 2 Zn 2.89, 2 Ga 2.92
Ag  0.5000  0.5000  0.0000 [1 per cell]  8 Ag 2.89, 4 Zn 2.90
Ag  0.5000  0.5000  0.5000 [1 per cell]  4 Ga 2.90, 8 Ag 2.92

---

--- Q ---
Material: ZnGaAg6
Method: DFT, PBE
State: optimized geometry

density of states at the Fermi level: 2.251 states/eV/f.u.
crystal system: triclinic

Cell: 4.9370 5.4242 5.4449 Å, 92.00 93.17 93.28°
With the nearest neighbours (Å) after each atom.
Space group P-1 (No. 2)
One atom of each set of equivalent atoms:
Zn  0.0000  0.0000  0.0000 [1 per cell]  8 Ag 2.70-2.89
Ga  0.5000  0.5000  0.5000 [1 per cell]  8 Ag 2.71-2.89
Ag  0.0257  0.7518  0.4493 [2 per cell]  7 Ag 2.76-3.03, 2 Ga 2.78-2.89, 1 Zn 2.83
Ag  0.2499  0.5769  0.9245 [2 per cell]  1 Zn 2.70, 1 Ga 2.71, 6 Ag 2.74-2.97
Ag  0.4751  0.0480  0.7499 [2 per cell]  7 Ag 2.78-3.03, 2 Zn 2.78-2.89, 1 Ga 2.84

---

Question: which arrangement is favored energetically? Ranking from most to least stable: P, Q.

---

--- P ---
Material: ZnGa2Ag4
Method: DFT, PBE
State: optimized geometry

density of states at the Fermi level: 3.363 states/eV/f.u.
crystal system: tetragonal

Cell: 4.8854 4.8854 13.1198 Å, 90.00 90.00 90.00°
With the nearest neighbours (Å) after each atom.
Space group I4/mmm (No. 139)
One atom of each set of equivalent atoms:
Zn  0.0000  0.0000  0.0000 [2 per cell]  6 Ag 2.44-2.57
Ga  0.0000  0.0000  0.3885 [4 per cell]  1 Ag 2.53
Ag  0.0000  0.0000  0.1957 [4 per cell]  1 Ga 2.53, 1 Zn 2.57
Ag  0.0000  0.5000  0.0000 [4 per cell]  2 Zn 2.44

---

--- Q ---
Material: ZnGa2Ag4
Method: DFT, PBE
State: optimized geometry

density of states at the Fermi level: 1.828 states/eV/f.u.
crystal system: orthorhombic

Cell: 4.5182 7.8246 13.9607 Å, 90.00 90.00 90.00°
With the nearest neighbours (Å) after each atom.
Space group Cmcm (No. 63)
One atom of each set of equivalent atoms:
Zn  0.0000  0.0025  0.2500 [4 per cell]  3 Ag 2.61
Ga  0.0000  0.3337  0.0593 [8 per cell]  8 Ag 2.66-2.88
Ag  0.0000  0.0000  0.0000 [4 per cell]  6 Ga 2.74
Ag  0.0000  0.3316  0.6455 [8 per cell]  4 Ga 2.86-2.88, 4 Ag 2.92-2.99, 3 Zn 2.99
Ag  0.0000  0.3357  0.2500 [4 per cell]  3 Zn 2.61, 2 Ga 2.66

---

--- R ---
Material: ZnGa2Ag4
Method: DFT, PBE
State: optimized geometry

density of states at the Fermi level: 1.851 states/eV/f.u.
crystal system: monoclinic

Cell: 18.1299 2.9448 4.7615 Å, 90.00 105.13 90.00°
With the nearest neighbours (Å) after each atom.
Space group C2/m (No. 12)
One atom of each set of equivalent atoms:
Zn  0.0000  0.0000  0.0000 [2 per cell]  8 Ag 2.78-2.80, 2 Zn 2.94
Ga  0.2231  0.5000  0.7223 [4 per cell]  6 Ag 2.83-2.87, 6 Ga 2.94-2.96
Ag  0.0820  0.0000  0.5822 [4 per cell]  2 Zn 2.78, 7 Ag 2.87-2.95, 2 Ga 2.87
Ag  0.1360  0.5000  0.1358 [4 per cell]  2 Zn 2.80, 4 Ga 2.83-2.87, 6 Ag 2.94-2.95

---

Question: which arrangement is favored energetically? Ranking from most to least stable: R, Q, P.

---

--- P ---
Material: ZnGa2Ag3
Method: DFT, PBE
State: optimized geometry

density of states at the Fermi level: 2.044 states/eV/f.u.
crystal system: orthorhombic

Cell: 4.8524 8.7729 4.8439 Å, 90.00 90.00 90.00°
With the nearest neighbours (Å) after each atom.
Space group Pmmn (No. 59, origin choice 2)
One atom of each set of equivalent atoms:
Zn  0.2500  0.2500  0.0980 [2 per cell]  6 Ag 2.82-2.83, 6 Ga 2.93-2.98
Ga  0.2500  0.5835  0.0957 [4 per cell]  6 Ag 2.80-2.86, 3 Ga 2.92-2.98, 3 Zn 2.93-2.98
Ag  0.2500  0.0846  0.5988 [4 per cell]  2 Zn 2.82-2.83, 4 Ga 2.82-2.85, 6 Ag 2.90-3.00
Ag  0.2500  0.7500  0.6033 [2 per cell]  4 Ga 2.80-2.86, 2 Zn 2.82, 6 Ag 2.94-2.99

---

--- Q ---
Material: ZnGa2Ag3
Method: DFT, PBE
State: optimized geometry

density of states at the Fermi level: 1.549 states/eV/f.u.
crystal system: monoclinic

Cell: 6.1220 3.4395 9.8255 Å, 90.00 90.66 90.00°
With the nearest neighbours (Å) after each atom.
Space group P2_1/m (No. 11)
One atom of each set of equivalent atoms:
Zn  0.1384  0.2500  0.2420 [2 per cell]  4 Ga 2.77-2.81, 5 Ag 2.79-2.88
Ga  0.1155  0.2500  0.5982 [2 per cell]  6 Ag 2.76-3.08, 2 Zn 2.81, 2 Ga 2.94
Ga  0.3783  0.7500  0.0811 [2 per cell]  2 Zn 2.77, 2 Ga 2.79, 6 Ag 2.83-3.09
Ag  0.1256  0.2500  0.9114 [2 per cell]  2 Zn 2.79, 5 Ga 2.84-3.09, 4 Ag 2.90-2.93
Ag  0.3385  0.7500  0.4301 [2 per cell]  3 Ga 2.76-2.79, 2 Zn 2.80, 5 Ag 2.92-3.05
Ag  0.3926  0.7500  0.7393 [2 per cell]  4 Ga 2.78-2.83, 1 Zn 2.88, 5 Ag 2.92-3.05

---

Question: which arrangement is favored energetically? Ranking from most to least stable: P, Q.

---

--- P ---
Material: ZnGaAg
Method: DFT, PBE
State: optimized geometry

density of states at the Fermi level: 2.687 states/eV/f.u.
crystal system: cubic

Cell: 6.1569 6.1569 6.1569 Å, 90.00 90.00 90.00°
With the nearest neighbours (Å) after each atom.
Space group F-43m (No. 216)
One atom of each set of equivalent atoms:
Zn  0.0000  0.0000  0.0000 [4 per cell]  4 Ag 2.67
Ga  0.0000  0.0000  0.5000 [4 per cell]  4 Ag 2.67
Ag  0.2500  0.2500  0.7500 [4 per cell]  4 Zn 2.67, 4 Ga 2.67

---

--- Q ---
Material: ZnGaAg
Method: DFT, PBE
State: optimized geometry

density of states at the Fermi level: 1.183 states/eV/f.u.
crystal system: tetragonal

Cell: 3.5308 3.5308 8.1975 Å, 90.00 90.00 90.00°
With the nearest neighbours (Å) after each atom.
Space group I4mm (No. 107)
One atom of each set of equivalent atoms:
Zn  0.0000  0.0000  0.0000 [2 per cell]  5 Ga 2.73-2.85, 5 Ag 2.74-2.84
Ga  0.0000  0.0000  0.3325 [2 per cell]  5 Zn 2.73-2.85, 5 Ag 2.73-2.85
Ag  0.0000  0.0000  0.6656 [2 per cell]  5 Ga 2.73-2.85, 5 Zn 2.74-2.84

---

--- R ---
Material: ZnGaAg
Method: DFT, PBE
State: optimized geometry

density of states at the Fermi level: 1.085 states/eV/f.u.
crystal system: monoclinic

Cell: 9.0489 3.9070 6.4785 Å, 90.00 110.07 90.00°
With the nearest neighbours (Å) after each atom.
Space group C2/m (No. 12)
One atom of each set of equivalent atoms:
Zn  0.1093  0.0000  0.2139 [4 per cell]  3 Ga 2.55-2.78, 5 Ag 2.77-2.82, 1 Zn 2.80
Ga  0.1608  0.0000  0.6270 [4 per cell]  3 Zn 2.55-2.78, 2 Ag 2.77, 1 Ga 2.81
Ag  0.1220  0.5000  0.9064 [4 per cell]  3 Ga 2.77-2.99, 5 Zn 2.77-2.82, 3 Ag 2.86-2.95

---

--- S ---
Material: ZnGaAg
Method: DFT, PBE
State: optimized geometry

density of states at the Fermi level: 1.379 states/eV/f.u.
crystal system: tetragonal

Cell: 3.6507 3.6507 5.0438 Å, 90.00 90.00 90.00°
With the nearest neighbours (Å) after each atom.
Space group P4/mmm (No. 123)
One atom of each set of equivalent atoms:
Zn  0.0000  0.0000  0.0000 [1 per cell]  2 Ga 2.52, 4 Ag 2.58
Ga  0.0000  0.0000  0.5000 [1 per cell]  2 Zn 2.52
Ag  0.5000  0.5000  0.0000 [1 per cell]  4 Zn 2.58

---

Question: which arrangement is favored energetically? Ranking from most to least stable: Q, R, P, S.

---

--- P ---
Material: Zn8GaAg2
Method: DFT, PBE
State: optimized geometry

density of states at the Fermi level: 2.949 states/eV/f.u.
crystal system: monoclinic

Cell: 13.8211 3.7961 6.8262 Å, 90.00 100.26 90.00°
With the nearest neighbours (Å) after each atom.
Space group C2/m (No. 12)
One atom of each set of equivalent atoms:
Zn  0.0398  0.0000  0.2225 [4 per cell]  7 Zn 2.59-2.88, 1 Ag 2.70, 2 Ga 2.80
Zn  0.0912  0.5000  0.9692 [4 per cell]  7 Zn 2.63-2.79, 3 Ag 2.79
Zn  0.1371  0.0000  0.6996 [4 per cell]  6 Zn 2.59-2.83, 2 Ag 2.74, 2 Ga 2.85
Zn  0.1809  0.5000  0.4200 [4 per cell]  1 Ga 2.65, 7 Zn 2.77-2.88, 2 Ag 2.79
Ga  0.0000  0.5000  0.5000 [2 per cell]  10 Zn 2.65-2.85
Ag  0.2260  0.0000  0.1514 [4 per cell]  9 Zn 2.70-2.98, 2 Ag 2.97

---

--- Q ---
Material: Zn8GaAg2
Method: DFT, PBE
State: optimized geometry

density of states at the Fermi level: 2.211 states/eV/f.u.
crystal system: monoclinic

Cell: 6.8494 12.2065 4.9249 Å, 90.00 116.31 90.00°
With the nearest neighbours (Å) after each atom.
Space group C2/m (No. 12)
One atom of each set of equivalent atoms:
Zn  0.0000  0.2170  0.0000 [4 per cell]  1 Ga 2.65, 2 Ag 2.67, 4 Zn 2.83
Zn  0.0701  0.5000  0.7844 [4 per cell]  6 Zn 2.53-2.70, 1 Ga 2.65, 2 Ag 2.72
Zn  0.2106  0.1102  0.6927 [8 per cell]  6 Zn 2.66-2.83, 2 Ag 2.70-2.76, 1 Ga 2.85
Ga  0.0000  0.0000  0.0000 [2 per cell]  8 Zn 2.65-2.85
Ag  0.0000  0.3023  0.5000 [4 per cell]  8 Zn 2.67-2.76

---

Question: which arrangement is favored energetically? Ranking from most to least stable: P, Q.